(1)
## In4Pd17Se4 (PBE)

Data for a relaxed In4Pd17Se4 crystal.

```
In4Pd17Se4
1.0
-7.288 7.288 2.021
7.288 -7.288 2.021
7.288 7.288 -2.021
In Pd Se
4 17 4
Cartesian
12.216 1.669 0.000
1.669 2.361 0.000
5.620 4.928 2.021
-4.928 5.620 2.021
0.000 0.000 0.000
3.955 0.680 0.000
5.968 2.874 0.000
9.992 3.635 0.000
6.608 -3.334 2.021
3.635 4.585 0.000
7.603 5.301 0.000
4.415 -1.321 2.021
5.301 6.974 0.000
1.987 0.315 2.021
2.874 8.609 0.000
-0.315 1.987 2.021
3.653 2.704 2.021
0.680 10.622 0.000
-2.704 3.653 2.021
1.321 4.415 2.021
3.334 6.608 2.021
8.332 1.820 0.000
1.820 6.245 0.000
5.468 1.043 2.021
-1.043 5.468 2.021
```

Computed properties:
SG: I4/m


(2)
## In2Pd8Se (PBE)

Data for a relaxed In2Pd8Se crystal.

```
In2Pd8Se
1.0
7.512 -2.320 0.000
7.512 2.320 0.000
-2.216 0.000 5.336
In Pd Se
2 8 1
Cartesian
2.345 0.000 0.976
10.463 0.000 4.361
-0.555 0.000 1.342
13.363 0.000 3.995
1.270 0.000 3.663
5.201 0.000 0.548
4.049 0.000 3.301
8.759 0.000 2.035
7.607 0.000 4.788
11.538 0.000 1.674
6.404 0.000 2.668
```

Computed properties:
SG: C2/m


(3)
## In2PdSe (PBE)

Data for a relaxed In2PdSe crystal.

```
In2PdSe
1.0
1.950 1.126 7.066
-1.950 1.126 7.066
0.000 -2.252 7.066
In Pd Se
2 1 1
Cartesian
0.000 0.000 0.000
0.000 0.000 3.827
0.000 0.000 12.492
0.000 0.000 15.925
```

Computed properties:
SG: R3m


(4)
## In2PdSe (PBE)

Data for a relaxed In2PdSe crystal.

```
In2PdSe
1.0
-3.458 3.458 4.677
3.458 -3.458 4.677
3.458 3.458 -4.677
In Pd Se
4 2 2
Cartesian
5.187 1.627 -1.169
1.627 1.729 1.169
-1.729 1.831 3.508
1.831 1.729 5.846
0.000 0.000 0.000
0.000 3.458 2.339
3.458 0.000 2.339
0.000 0.000 4.677
```

Computed properties:
SG: I-42d


(5)
## InPd5Se (PBE)

Data for a relaxed InPd5Se crystal.

```
InPd5Se
1.0
4.997 -4.317 0.000
4.997 4.317 0.000
-4.916 0.000 6.305
In Pd Se
2 10 2
Cartesian
1.310 2.441 4.728
3.768 -2.441 1.576
-1.140 1.559 4.203
3.768 3.573 1.576
1.026 0.148 3.213
3.484 -0.148 0.061
1.318 -1.559 1.050
3.760 1.559 5.254
1.594 0.148 6.244
4.052 -0.148 3.092
1.310 -3.573 4.728
6.217 -1.559 2.102
2.498 2.158 0.000
0.040 -2.158 3.152
```

Computed properties:
SG: C2/c


(6)
## In2Pd8Se (PBE)

Data for a relaxed In2Pd8Se crystal.

```
In2Pd8Se
1.0
4.067 0.000 0.000
0.000 4.067 0.000
0.000 0.000 11.131
In Pd Se
2 8 1
Cartesian
0.000 0.000 1.979
0.000 0.000 9.152
0.000 2.034 0.000
0.000 2.034 4.013
0.000 2.034 7.117
2.034 0.000 0.000
2.034 0.000 4.013
2.034 0.000 7.117
2.034 2.034 2.008
2.034 2.034 9.123
2.034 2.034 5.565
```

Computed properties:
SG: P4/mmm


Uncorrected energy (computed, eV for the cell shown): -122.93, -54.35, -15.40, -30.04, -65.21, -54.93
DOS(E_F) (computed, states/eV per atom): 0.5092, 0.4817, 0.3803, 0.0295, 0.5572, 0.2549
Magnetization (computed, μB/cell): 0.00, 0.00, 0.00, 0.00, 0.00, 0.00